Below is Al3CuAs after structural relaxation, with properties calculated at the PBE level.

## Properties
The value obtained for the magnetization is 0.00 μB/f.u. The crystal system is cubic.

Unit cell a=4.874 b=4.874 c=4.874 alpha=90.00 beta=90.00 gamma=90.00
Space group Pm-3m (No. 221)
Inequivalent atoms, fractional coordinates:
Al 0.000 0.000 0.500 x3
Cu 0.500 0.500 0.500 x1
As 0.000 0.000 0.000 x1

---

Below is AlCu2As after structural relaxation, with properties calculated at the PBE level.

## Properties
The value obtained for the magnetization is 0.00 μB/f.u. The crystal system is tetragonal.

Unit cell a=4.732 b=4.732 c=2.676 alpha=90.00 beta=90.00 gamma=90.00
Space group P4/mmm (No. 123)
Inequivalent atoms, fractional coordinates:
Al 0.000 0.000 0.000 x1
Cu 0.000 0.500 0.500 x2
As 0.500 0.500 0.000 x1

---

Ordered DFT formation energy results: 0.806, 0.114; unit eV/atom.
Ordered DFT total energy results: -15.94, -16.13; unit eV/cell.
Ordered energy above the most stable polymorph in this dataset results: 0.5521, 0.1151; unit eV per atom.